The following is a GGA+U calculation of a relaxed structure of TlVP2O, from the Alexandria database.

a b c (Å): 4.855 4.855 3.687
angles (deg): 90.00 90.00 90.00
Space group P4/mmm (No. 123)
Symmetry-distinct sites (fractional):
Tl1 0.000 0.000 0.000
V1 0.500 0.500 0.500
P1 0.000 0.500 0.500
O1 0.500 0.500 0.000

As for the spin magnetization: 0.0 μB/cell. Its energy is -5.19 eV/atom.